The following is a DFT calculation (SCAN) of ScPOs2 at its PBEsol-relaxed geometry.

Results
Volume   59 Å³ per cell
Calculated formation energy   0.23 eV per atom
E   -167.5 eV per cell
Space group   No. 216
Total magnetic moment   0.0 μB per cell

Unit cell a=4.376 b=4.376 c=4.376 alpha=60.00 beta=60.00 gamma=60.00
Fractional positions:
Sc 0.250 0.250 0.250
Os 0.750 0.750 0.750
Os 0.000 0.000 0.000
P 0.500 0.500 0.500



The following is a DFT calculation (SCAN) of CoB4O7 at its PBEsol-relaxed geometry.

Results
Volume   180 Å³ per cell
Energy relative to the elements, uncorrected   -229 kJ/mol of atoms
E   -238.3 eV per cell
Space group   No. 63
Total magnetic moment   6.0 μB per cell

Unit cell a=5.170 b=6.306 c=6.306 alpha=61.34 beta=90.00 gamma=90.00
Fractional positions:
O 0.522 0.442 0.812
O 0.022 0.812 0.442
O 0.750 0.245 0.198
O 0.522 0.188 0.558
O 0.978 0.188 0.558
O 0.250 0.755 0.802
O 0.978 0.442 0.812
O 0.022 0.558 0.188
O 0.478 0.558 0.188
O 0.250 0.928 0.072
O 0.750 0.072 0.928
O 0.250 0.198 0.245
O 0.750 0.802 0.755
O 0.478 0.812 0.442
B 0.000 0.702 0.702
B 0.000 0.298 0.298
B 0.750 0.305 0.929
B 0.500 0.702 0.702
B 0.250 0.695 0.071
B 0.500 0.298 0.298
B 0.750 0.071 0.695
B 0.250 0.929 0.305
Co 0.750 0.757 0.243
Co 0.250 0.243 0.757



The following is a DFT calculation (SCAN) of TaTl2Os at its PBEsol-relaxed geometry.

Results
Volume   76 Å³ per cell
Calculated formation energy   0.83 eV per atom
E   -279.9 eV per cell
Space group   No. 47
Total magnetic moment   0.0 μB per cell

Unit cell a=3.078 b=4.834 c=5.078 alpha=90.00 beta=90.00 gamma=90.00
Fractional positions:
Tl 0.000 0.000 0.000
Tl 0.500 0.000 0.500
Os 0.500 0.500 0.000
Ta 0.000 0.500 0.500



The following is a DFT calculation (SCAN) of Sr2CdCu at its PBEsol-relaxed geometry.

Results
Volume   132 Å³ per cell
Calculated formation energy   -0.03 eV per atom
E   -90.3 eV per cell
Space group   No. 166
Total magnetic moment   0.0 μB per cell

Unit cell a=4.334 b=4.334 c=8.479 alpha=75.19 beta=75.19 gamma=60.00
Fractional positions:
Sr 0.262 0.262 0.215
Sr 0.738 0.738 0.785
Cd 0.500 0.500 0.500
Cu 0.000 0.000 0.000



The following is a DFT calculation (SCAN) of Re3NiMo at its PBEsol-relaxed geometry.

Results
Volume   81 Å³ per cell
Calculated formation energy   1.76 eV per atom
E   -255.6 eV per cell
Space group   No. 221
Total magnetic moment   0.0 μB per cell

Unit cell a=4.330 b=4.330 c=4.330 alpha=90.00 beta=90.00 gamma=90.00
Fractional positions:
Ni 0.000 0.000 0.000
Re 0.500 0.000 0.000
Re 0.000 0.000 0.500
Re 0.000 0.500 0.000
Mo 0.500 0.500 0.500



The following is a DFT calculation (SCAN) of Mn3SnP4O16 at its PBEsol-relaxed geometry.

Results
Volume   286 Å³ per cell
Energy relative to the elements, uncorrected   -222 kJ/mol of atoms
E   -287.2 eV per cell
Space group   No. 6
Total magnetic moment   13.0 μB per cell

Unit cell a=4.880 b=5.959 c=9.835 alpha=90.00 beta=90.75 gamma=90.00
Fractional positions:
Sn 0.945 0.000 0.717
Mn 0.431 0.500 0.784
Mn 0.581 0.000 0.220
Mn 0.075 0.500 0.282
O 0.348 0.000 0.061
O 0.845 0.500 0.437
O 0.647 0.500 0.948
O 0.236 0.199 0.834
O 0.743 0.297 0.172
O 0.796 0.000 0.383
O 0.286 0.500 0.124
O 0.208 0.500 0.620
O 0.752 0.703 0.661
O 0.182 0.000 0.553
O 0.249 0.204 0.330
O 0.743 0.703 0.172
O 0.752 0.297 0.661
O 0.236 0.801 0.834
O 0.249 0.796 0.330
O 0.697 0.000 0.879
P 0.390 0.000 0.909
P 0.903 0.500 0.589
P 0.109 0.000 0.398
P 0.597 0.500 0.102



The following is a DFT calculation (SCAN) of MgSc3 at its PBEsol-relaxed geometry.

Results
Volume   93 Å³ per cell
Calculated formation energy   0.01 eV per atom
E   -47.7 eV per cell
Space group   No. 221
Total magnetic moment   2.3 μB per cell

Unit cell a=4.532 b=4.532 c=4.532 alpha=90.00 beta=90.00 gamma=90.00
Fractional positions:
Sc 0.000 0.500 0.500
Sc 0.500 0.000 0.500
Sc 0.500 0.500 0.000
Mg 0.000 0.000 0.000



The following is a DFT calculation (SCAN) of TbVSe2O8 at its PBEsol-relaxed geometry.

Results
Volume   614 Å³ per cell
Energy relative to the elements, uncorrected   -198 kJ/mol of atoms
E   -715.6 eV per cell
Space group   No. 11
Total magnetic moment   0.0 μB per cell

Unit cell a=6.616 b=6.941 c=13.376 alpha=90.00 beta=91.20 gamma=90.00
Fractional positions:
O 0.020 0.250 0.774
O 0.357 0.053 0.435
O 0.910 0.948 0.393
O 0.580 0.750 0.383
O 0.025 0.424 0.098
O 0.377 0.573 0.106
O 0.420 0.250 0.617
O 0.090 0.448 0.607
O 0.583 0.438 0.266
O 0.975 0.924 0.902
O 0.417 0.562 0.734
O 0.802 0.750 0.719
O 0.975 0.576 0.902
O 0.623 0.427 0.894
O 0.583 0.062 0.266
O 0.303 0.750 0.574
O 0.025 0.076 0.098
O 0.643 0.947 0.565
O 0.980 0.750 0.226
O 0.285 0.250 0.961
O 0.417 0.938 0.734
O 0.643 0.553 0.565
O 0.198 0.250 0.281
O 0.684 0.250 0.079
O 0.090 0.052 0.607
O 0.697 0.250 0.426
O 0.715 0.750 0.039
O 0.377 0.927 0.106
O 0.910 0.552 0.393
O 0.623 0.073 0.894
O 0.357 0.447 0.435
O 0.316 0.750 0.921
V 0.625 0.490 0.383
V 0.375 0.990 0.617
V 0.375 0.510 0.617
V 0.625 0.010 0.383
Se 0.449 0.250 0.862
Se 0.955 0.250 0.652
Se 0.116 0.750 0.838
Se 0.196 0.250 0.407
Se 0.884 0.250 0.162
Se 0.804 0.750 0.593
Se 0.551 0.750 0.138
Se 0.045 0.750 0.348
Tb 0.365 0.250 0.135
Tb 0.635 0.750 0.865
Tb 0.079 0.750 0.065
Tb 0.921 0.250 0.935



The following is a DFT calculation (SCAN) of SrNi2Au at its PBEsol-relaxed geometry.

Results
Volume   79 Å³ per cell
Calculated formation energy   -0.24 eV per atom
E   -124.8 eV per cell
Space group   No. 12
Total magnetic moment   0.0 μB per cell

Unit cell a=4.285 b=4.285 c=5.564 alpha=112.77 beta=90.00 gamma=120.00
Fractional positions:
Au 0.000 0.000 0.500
Ni 0.684 0.368 0.552
Ni 0.316 0.632 0.448
Sr 0.500 0.000 0.000



The following is a DFT calculation (SCAN) of Mn3AsCl at its PBEsol-relaxed geometry.

Results
Volume   72 Å³ per cell
Energy relative to the elements, uncorrected   55 kJ/mol of atoms
E   -80.1 eV per cell
Space group   No. 221
Total magnetic moment   10.1 μB per cell

Unit cell a=4.167 b=4.167 c=4.167 alpha=90.00 beta=90.00 gamma=90.00
Fractional positions:
Mn 0.000 0.500 0.000
Mn 0.000 0.000 0.500
Mn 0.500 0.000 0.000
As 0.500 0.500 0.500
Cl 0.000 0.000 0.000



The following is a DFT calculation (SCAN) of Cu2PtSe at its PBEsol-relaxed geometry.

Results
Volume   57 Å³ per cell
Energy relative to the elements, uncorrected   15 kJ/mol of atoms
E   -120.1 eV per cell
Space group   No. 65
Total magnetic moment   0.0 μB per cell

Unit cell a=2.810 b=2.810 c=7.253 alpha=90.00 beta=90.00 gamma=89.89
Fractional positions:
Pt 0.500 0.500 0.500
Cu 0.000 0.000 0.262
Cu 0.000 0.000 0.738
Se 0.500 0.500 0.000



The following is a DFT calculation (SCAN) of ScRe2TcF at its PBEsol-relaxed geometry.

Results
Volume   107 Å³ per cell
Energy relative to the elements, uncorrected   113 kJ/mol of atoms
E   -189.2 eV per cell
Space group   No. 123
Total magnetic moment   2.3 μB per cell

Unit cell a=4.537 b=4.537 c=5.207 alpha=90.00 beta=90.00 gamma=90.00
Fractional positions:
Re 0.000 0.500 0.000
Re 0.500 0.000 0.000
Sc 0.000 0.000 0.500
F 0.500 0.500 0.500
Tc 0.000 0.000 0.000



The following is a DFT calculation (SCAN) of Rb3AlCl6 at its PBEsol-relaxed geometry.

Results
Volume   303 Å³ per cell
Energy relative to the elements, uncorrected   -193 kJ/mol of atoms
E   -137.9 eV per cell
Space group   No. 225
Total magnetic moment   0.0 μB per cell

Unit cell a=7.540 b=7.540 c=7.540 alpha=60.00 beta=60.00 gamma=60.00
Fractional positions:
Cl 0.783 0.217 0.217
Cl 0.217 0.783 0.783
Cl 0.217 0.217 0.783
Cl 0.217 0.783 0.217
Cl 0.783 0.783 0.217
Cl 0.783 0.217 0.783
Al 0.000 0.000 0.000
Rb 0.750 0.750 0.750
Rb 0.500 0.500 0.500
Rb 0.250 0.250 0.250



The following is a DFT calculation (SCAN) of Co5Br at its PBEsol-relaxed geometry.

Results
Volume   71 Å³ per cell
Energy relative to the elements, uncorrected   55 kJ/mol of atoms
E   -102.5 eV per cell
Space group   No. 8
Total magnetic moment   9.1 μB per cell

Unit cell a=2.728 b=4.782 c=5.915 alpha=106.39 beta=90.00 gamma=106.57
Fractional positions:
Co 0.676 0.351 0.346
Co 0.262 0.525 0.066
Co 0.949 0.898 0.399
Co 0.624 0.248 0.707
Co 0.333 0.666 0.650
Br 0.989 0.978 0.000



The following is a DFT calculation (SCAN) of Ti3Si at its PBEsol-relaxed geometry.

Results
Volume   120 Å³ per cell
Energy relative to the elements, uncorrected   -44 kJ/mol of atoms
E   -119.9 eV per cell
Space group   No. 194
Total magnetic moment   0.0 μB per cell

Unit cell a=4.466 b=5.578 c=5.578 alpha=120.00 beta=90.00 gamma=90.00
Fractional positions:
Ti 0.250 0.828 0.657
Ti 0.750 0.172 0.828
Ti 0.750 0.172 0.343
Ti 0.250 0.343 0.172
Ti 0.750 0.657 0.828
Ti 0.250 0.828 0.172
Si 0.750 0.667 0.333
Si 0.250 0.333 0.667



The following is a DFT calculation (SCAN) of HfNF2 at its PBEsol-relaxed geometry.

Results
Volume   67 Å³ per cell
Energy relative to the elements, uncorrected   -85 kJ/mol of atoms
E   -82.6 eV per cell
Space group   No. 166
Total magnetic moment   3.0 μB per cell

Unit cell a=2.923 b=2.923 c=9.176 alpha=80.83 beta=80.83 gamma=60.00
Fractional positions:
N 0.000 0.000 0.000
F 0.112 0.112 0.663
F 0.888 0.888 0.337
Hf 0.500 0.500 0.500



The following is a DFT calculation (SCAN) of InHgRh at its PBEsol-relaxed geometry.

Results
Volume   54 Å³ per cell
Calculated formation energy   -0.03 eV per atom
E   -135.4 eV per cell
Space group   No. 44
Total magnetic moment   0.0 μB per cell

Unit cell a=3.101 b=3.682 c=5.310 alpha=110.28 beta=106.98 gamma=90.00
Fractional positions:
In 0.684 0.684 0.369
Hg 0.994 0.994 0.988
Rh 0.321 0.321 0.643



The following is a DFT calculation (SCAN) of CaZn2Te at its PBEsol-relaxed geometry.

Results
Volume   96 Å³ per cell
Energy relative to the elements, uncorrected   -32 kJ/mol of atoms
E   -75.3 eV per cell
Space group   No. 71
Total magnetic moment   0.0 μB per cell

Unit cell a=4.129 b=4.167 c=6.291 alpha=109.34 beta=109.16 gamma=90.00
Fractional positions:
Zn 0.251 0.251 0.503
Zn 0.749 0.749 0.497
Ca 0.500 0.000 0.000
Te 0.000 0.500 0.000



The following is a DFT calculation (SCAN) of Cs5Nb2S4Cl9 at its PBEsol-relaxed geometry.

Results
Volume   601 Å³ per cell
Energy relative to the elements, uncorrected   -165 kJ/mol of atoms
E   -399.9 eV per cell
Space group   No. 71
Total magnetic moment   0.0 μB per cell

Unit cell a=7.193 b=10.298 c=10.263 alpha=120.11 beta=110.51 gamma=90.00
Fractional positions:
Cs 0.000 0.500 0.000
Cs 0.664 0.442 0.328
Cs 0.336 0.558 0.672
Cs 0.336 0.114 0.672
Cs 0.664 0.886 0.328
Cl 0.129 0.884 0.258
Cl 0.558 0.797 0.593
Cl 0.500 0.500 0.000
Cl 0.035 0.797 0.593
Cl 0.442 0.203 0.407
Cl 0.129 0.374 0.258
Cl 0.871 0.626 0.742
Cl 0.965 0.203 0.407
Cl 0.871 0.116 0.742
S 0.246 0.903 0.000
S 0.754 0.903 0.000
S 0.246 0.097 0.000
S 0.754 0.097 0.000
Nb 0.090 0.090 0.179
Nb 0.910 0.910 0.821



The following is a DFT calculation (SCAN) of MgFeAs at its PBEsol-relaxed geometry.

Results
Volume   47 Å³ per cell
Calculated formation energy   0.03 eV per atom
E   -43.2 eV per cell
Space group   No. 156
Total magnetic moment   1.5 μB per cell

Unit cell a=3.012 b=3.012 c=5.997 alpha=90.00 beta=90.00 gamma=120.00
Fractional positions:
Mg 0.667 0.333 0.354
As 0.000 0.000 0.950
Fe 0.333 0.667 0.696



The following is a DFT calculation (SCAN) of KTlAg4 at its PBEsol-relaxed geometry.

Results
Volume   127 Å³ per cell
Calculated formation energy   0.04 eV per atom
E   -205.9 eV per cell
Space group   No. 216
Total magnetic moment   0.0 μB per cell

Unit cell a=5.635 b=5.635 c=5.635 alpha=60.00 beta=60.00 gamma=60.00
Fractional positions:
Ag 0.375 0.375 0.876
Ag 0.876 0.375 0.375
Ag 0.375 0.876 0.375
Ag 0.375 0.375 0.375
Tl 0.000 0.000 0.000
K 0.750 0.750 0.750



The following is a DFT calculation (SCAN) of RbBe2GaNi at its PBEsol-relaxed geometry.

Results
Volume   88 Å³ per cell
Calculated formation energy   0.32 eV per atom
E   -60.4 eV per cell
Space group   No. 123
Total magnetic moment   0.0 μB per cell

Unit cell a=4.419 b=4.419 c=4.509 alpha=90.00 beta=90.00 gamma=90.00
Fractional positions:
Be 0.500 0.000 0.000
Be 0.000 0.500 0.000
Ga 0.000 0.000 0.500
Rb 0.500 0.500 0.500
Ni 0.000 0.000 0.000



The following is a DFT calculation (SCAN) of KRb2CdPb at its PBEsol-relaxed geometry.

Results
Volume   266 Å³ per cell
Calculated formation energy   -0.03 eV per atom
E   -156.2 eV per cell
Space group   No. 123
Total magnetic moment   0.5 μB per cell

Unit cell a=5.654 b=6.859 c=6.859 alpha=90.00 beta=90.00 gamma=90.00
Fractional positions:
Cd 0.000 0.000 0.000
Rb 0.000 0.000 0.500
Rb 0.000 0.500 0.000
K 0.500 0.500 0.500
Pb 0.500 0.000 0.000